No. 1
# MgTa2P (GGA-PBEsol, optimized geometry)
# E above lowest polymorph = 1.3 kJ/mol of atoms
# symmetry = Immm, No. 71
# energy of formation from the pure elements = -0.066 eV/atom
data_MgTa2P
_space_group_name_H-M_alt 'P 1'
_space_group_IT_number 1
_cell_length_a 5.1033
_cell_length_b 5.1033
_cell_length_c 5.1033
_cell_angle_alpha 141.26
_cell_angle_beta 125.21
_cell_angle_gamma 69.11
loop_
_space_group_symop_operation_xyz
'x,y,z'
loop_
_atom_site_label
_atom_site_fract_x
_atom_site_fract_y
_atom_site_fract_z
_atom_site_occupancy
Mg1 0.0000 0.0000 0.0000 1
Ta1 0.2868 0.7868 0.5000 1
Ta2 0.7132 0.2132 0.5000 1
P1 0.5000 0.5000 0.0000 1

No. 2
# CaSc2Ta (GGA-PBEsol, optimized geometry)
# E above lowest polymorph = 3.5 kJ/mol of atoms
# symmetry = Pmm2, No. 25
# energy of formation from the pure elements = 0.375 eV/atom
data_CaSc2Ta
_space_group_name_H-M_alt 'P 1'
_space_group_IT_number 1
_cell_length_a 3.1463
_cell_length_b 4.3081
_cell_length_c 7.1464
_cell_angle_alpha 90.00
_cell_angle_beta 90.00
_cell_angle_gamma 90.00
loop_
_space_group_symop_operation_xyz
'x,y,z'
loop_
_atom_site_label
_atom_site_fract_x
_atom_site_fract_y
_atom_site_fract_z
_atom_site_occupancy
Ca1 0.0000 0.0000 0.0000 1
Sc1 0.0000 0.0000 0.5501 1
Sc2 0.5000 0.5000 0.3210 1
Ta1 0.5000 0.5000 0.7237 1

No. 3
# Nb3TeI7 (GGA-PBEsol, optimized geometry)
# symmetry = P6_3mc, No. 186
# uncorrected formation energy = -0.56 eV per atom
data_Nb3TeI7
_space_group_name_H-M_alt 'P 1'
_space_group_IT_number 1
_cell_length_a 7.5721
_cell_length_b 7.5721
_cell_length_c 13.7966
_cell_angle_alpha 90.00
_cell_angle_beta 90.00
_cell_angle_gamma 120.00
loop_
_space_group_symop_operation_xyz
'x,y,z'
loop_
_atom_site_label
_atom_site_fract_x
_atom_site_fract_y
_atom_site_fract_z
_atom_site_occupancy
Nb1 0.1332 0.2664 0.0000 1
Nb2 0.1332 0.8668 0.0000 1
Nb3 0.2664 0.1332 0.5000 1
Nb4 0.7336 0.8668 0.0000 1
Nb5 0.8668 0.1332 0.5000 1
Nb6 0.8668 0.7336 0.5000 1
Te1 0.0000 0.0000 0.1501 1
Te2 0.0000 0.0000 0.6501 1
I1 0.0046 0.5023 0.6110 1
I2 0.1694 0.3387 0.3671 1
I3 0.1694 0.8306 0.3671 1
I4 0.3333 0.6667 0.8959 1
I5 0.3387 0.1694 0.8671 1
I6 0.4977 0.5023 0.6110 1
I7 0.4977 0.9954 0.6110 1
I8 0.5023 0.0046 0.1110 1
I9 0.5023 0.4977 0.1110 1
I10 0.6613 0.8306 0.3671 1
I11 0.6667 0.3333 0.3959 1
I12 0.8306 0.1694 0.8671 1
I13 0.8306 0.6613 0.8671 1
I14 0.9954 0.4977 0.1110 1

No. 4
# SbPbBrO2 (GGA-PBEsol, optimized geometry)
# symmetry = I4mm, No. 107
# uncorrected formation energy = -1.19 eV per atom
data_SbPbBrO2
_space_group_name_H-M_alt 'P 1'
_space_group_IT_number 1
_cell_length_a 6.9225
_cell_length_b 6.9225
_cell_length_c 6.9225
_cell_angle_alpha 147.54
_cell_angle_beta 147.54
_cell_angle_gamma 46.56
loop_
_space_group_symop_operation_xyz
'x,y,z'
loop_
_atom_site_label
_atom_site_fract_x
_atom_site_fract_y
_atom_site_fract_z
_atom_site_occupancy
Sb1 0.0000 0.0000 0.0000 1
Pb1 0.6924 0.6924 0.0000 1
Br1 0.3324 0.3324 0.0000 1
O1 0.0756 0.5756 0.5000 1
O2 0.5756 0.0756 0.5000 1

No. 5
# KRbBa2 (GGA-PBEsol, optimized geometry)
# symmetry = Fm-3m, No. 225
# energy of formation from the pure elements = 0.188 eV/atom
data_KRbBa2
_space_group_name_H-M_alt 'P 1'
_space_group_IT_number 1
_cell_length_a 7.2592
_cell_length_b 7.2592
_cell_length_c 7.2592
_cell_angle_alpha 60.00
_cell_angle_beta 60.00
_cell_angle_gamma 60.00
loop_
_space_group_symop_operation_xyz
'x,y,z'
loop_
_atom_site_label
_atom_site_fract_x
_atom_site_fract_y
_atom_site_fract_z
_atom_site_occupancy
K1 0.0000 0.0000 0.0000 1
Rb1 0.5000 0.5000 0.5000 1
Ba1 0.2500 0.2500 0.2500 1
Ba2 0.7500 0.7500 0.7500 1

No. 6
# HfSnMo2As (GGA-PBEsol, optimized geometry)
# symmetry = P4/mmm, No. 123
# energy of formation from the pure elements = 1.871 eV/atom
data_HfSnMo2As
_space_group_name_H-M_alt 'P 1'
_space_group_IT_number 1
_cell_length_a 4.9041
_cell_length_b 4.9041
_cell_length_c 4.8901
_cell_angle_alpha 90.00
_cell_angle_beta 90.00
_cell_angle_gamma 90.00
loop_
_space_group_symop_operation_xyz
'x,y,z'
loop_
_atom_site_label
_atom_site_fract_x
_atom_site_fract_y
_atom_site_fract_z
_atom_site_occupancy
Hf1 0.0000 0.0000 0.0000 1
Sn1 0.5000 0.5000 0.5000 1
Mo1 0.0000 0.5000 0.5000 1
Mo2 0.5000 0.0000 0.5000 1
As1 0.5000 0.5000 0.0000 1

Number 1: spin magnetization 0.0 μB per cell, calculated total energy -32.87 eV per cell. Number 2: spin magnetization 0.0 μB per cell, calculated total energy -26.39 eV per cell. Number 3: spin magnetization 0.0 μB per cell, calculated total energy -109.02 eV per cell. Number 4: spin magnetization 0.0 μB per cell, calculated total energy -26.87 eV per cell. Number 5: spin magnetization 0.0 μB per cell, calculated total energy -5.71 eV per cell. Number 6: spin magnetization 1.6 μB per cell, calculated total energy -34.05 eV per cell.